Below is crystalline Cd3In12Sb5 at its relaxed geometry, with properties calculated at the PBE level. Values from VASP.

The structure in Quantum ESPRESSO input format:
```
&SYSTEM
  ibrav = 0, nat = 80, ntyp = 3
/
ATOMIC_SPECIES
In 114.82 In.upf
Sb 121.76 Sb.upf
Cd 112.41 Cd.upf
CELL_PARAMETERS angstrom
15.004 0.000 0.000
-5.001 14.146 0.000
-5.001 -7.073 12.251
ATOMIC_POSITIONS angstrom
In 3.363 6.149 4.858
In 2.554 9.205 5.301
In 7.449 12.730 0.804
In -4.948 10.598 4.496
In -2.985 7.817 9.354
In 5.864 -0.924 7.393
In 7.449 3.548 4.496
In 7.986 -0.743 2.897
In 2.825 5.389 1.268
In 1.638 0.924 7.393
In 9.519 0.656 5.321
In 7.177 7.329 2.092
In -0.484 0.743 2.897
In 2.176 -1.940 11.426
In 5.326 1.940 11.426
In 10.865 3.328 3.229
In 2.016 5.673 8.218
In 5.326 -1.684 10.984
In -4.139 11.742 1.629
In 0.484 8.473 8.218
In 6.640 2.404 1.629
In 10.056 1.417 0.804
In 9.141 -4.669 10.622
In 5.486 6.330 9.354
In -4.517 6.417 6.930
In -5.864 3.745 9.022
In 10.328 6.817 2.092
In 2.985 1.400 4.033
In -2.447 -5.656 11.447
In 7.018 7.729 6.930
In -0.053 4.942 5.301
In 6.640 10.818 3.229
In -2.176 -0.256 10.159
In -1.638 4.669 10.622
In 2.825 9.013 0.825
In 2.176 1.684 10.984
In -5.326 0.256 10.159
In -5.055 5.656 11.447
In -2.447 3.525 7.755
In 2.447 -2.132 6.950
In -2.016 -0.656 5.321
In -0.325 5.133 0.825
In -1.638 -3.745 9.022
In 5.055 2.132 6.950
In 4.517 -1.400 4.033
In -0.862 7.997 4.858
In 9.950 -3.525 7.755
In -0.325 8.757 1.268
Sb 3.751 10.610 3.063
Sb -3.751 7.957 4.594
Sb -5.001 3.537 6.126
Sb -1.250 11.494 1.531
Sb -1.250 3.537 3.063
Sb 5.001 -3.537 6.126
Sb 3.751 2.652 1.531
Sb 1.250 -3.537 9.188
Sb 0.000 0.000 0.000
Sb 2.501 3.537 6.126
Sb 8.753 -0.884 7.657
Sb 6.252 -4.421 10.720
Sb -2.501 -3.537 6.126
Sb 1.250 4.421 10.720
Sb -1.250 0.884 7.657
Sb 6.252 6.189 4.594
Sb 6.252 3.537 9.188
Sb 5.001 7.073 0.000
Sb -2.501 7.073 0.000
Sb 7.502 0.000 0.000
Cd 1.250 -0.884 4.594
Cd 3.751 0.000 9.188
Cd 6.252 0.884 4.594
Cd -3.751 2.652 10.720
Cd 8.753 9.726 1.531
Cd 1.250 7.073 3.063
Cd -6.252 7.073 9.188
Cd 8.753 4.421 1.531
Cd -3.751 -2.652 10.720
Cd 11.253 0.000 3.063
Cd -1.250 6.189 7.657
Cd 3.751 7.957 7.657
```

E: -2.72 eV/atom
raw formation energy: 0.0903 eV/atom